1.
Material: YGaNi4Ge2
Method: DFT, PBE-GGA
State: optimized geometry

The space group is R-3m (No. 166, hexagonal axes) and the conventional cell measures 4.0319, 4.0319 and 25.2307 Å, with angles of 90.00, 90.00 and 120.00 degrees. The asymmetric unit holds Y at (0.0000, 0.0000, 0.0000), Ga at (0.0000, 0.0000, 0.5000), Ni at (0.0000, 0.0000, 0.1336), Ni at (0.0000, 0.0000, 0.4078) and Ge at (0.0000, 0.0000, 0.2510).

The volume is 14.80 Å³/atom. Its raw total energy is -136.2 eV/cell. The calculation puts the density of states at the Fermi level at 0.682 states/eV per atom. As for the formation energy: -443 meV per atom. For the calculated density, the calculation gives 7.6 g/cm³.

2.
Material: Tb3Dy8Er2
Method: DFT, PBE-GGA
State: optimized geometry

The space group is Cmmm (No. 65) and the conventional cell measures 7.608, 19.979 and 5.593 Å, with angles of 90.00, 90.00 and 90.00 degrees. The asymmetric unit holds Tb at (0.000, 0.000, 0.000), Tb at (0.213, 0.500, 0.500), Dy at (0.000, 0.134, 0.500), Dy at (0.000, 0.331, 0.500), Dy at (0.210, 0.392, 0.000) and Er at (0.000, 0.241, 0.000).

The volume is 32.70 Å³/atom. Its raw total energy is -113.5 eV/cell. The calculation puts the density of states at the Fermi level at 1.643 states/eV per atom. As for the formation energy: 236 meV per atom. For the calculated density, the calculation gives 8.2 g/cm³.

3.
Material: TaAgP2
Method: DFT, PBE-GGA
State: optimized geometry

The space group is R3m (No. 160, hexagonal axes) and the conventional cell measures 2.8840, 2.8840 and 31.4512 Å, with angles of 90.00, 90.00 and 120.00 degrees. The asymmetric unit holds Ta at (0.0000, 0.0000, 0.0000), Ag at (0.0000, 0.0000, 0.7459), P at (0.0000, 0.0000, 0.2678) and P at (0.0000, 0.0000, 0.4819).

The volume is 18.88 Å³/atom. Its raw total energy is -71.8 eV/cell. The calculation puts the density of states at the Fermi level at 0.886 states/eV per atom. As for the formation energy: 395 meV per atom. For the calculated density, the calculation gives 7.7 g/cm³. The relative energy among the computed polymorphs is 2.15 eV per formula unit.

4.
Material: Pr5Y4Ho3
Method: DFT, PBE-GGA
State: optimized geometry

The space group is C2/m (No. 12) and the conventional cell measures 11.582, 5.513 and 13.299 Å, with angles of 90.00, 104.68 and 90.00 degrees. The asymmetric unit holds Pr at (0.000, 0.000, 0.000), Pr at (0.138, 0.000, 0.465), Pr at (0.172, 0.500, 0.263), Y at (0.089, 0.500, 0.630), Y at (0.232, 0.500, 0.896), Ho at (0.000, 0.500, 0.000) and Ho at (0.045, 0.000, 0.783).

The volume is 34.23 Å³/atom. Its raw total energy is -121.7 eV/cell. The calculation puts the density of states at the Fermi level at 1.366 states/eV per atom. As for the formation energy: 219 meV per atom. For the calculated density, the calculation gives 6.3 g/cm³.

5.
Material: Tb3ErSn
Method: DFT, PBE-GGA
State: optimized geometry

The space group is Ima2 (No. 46) and the conventional cell measures 11.346, 8.364 and 6.790 Å, with angles of 90.00, 90.00 and 90.00 degrees. The asymmetric unit holds Tb at (0.030, 0.237, 0.000), Tb at (0.250, 0.072, 0.241), Er at (0.250, 0.747, 0.470) and Sn at (0.250, 0.063, 0.731).

The volume is 32.22 Å³/atom. Its raw total energy is -87.7 eV/cell. The calculation puts the density of states at the Fermi level at 1.263 states/eV per atom. As for the formation energy: 106 meV per atom. For the calculated density, the calculation gives 7.9 g/cm³.

6.
Material: ZrBrCl2
Method: DFT, PBE-GGA
State: optimized geometry

The space group is Cm (No. 8) and the conventional cell measures 13.423, 3.314 and 7.014 Å, with angles of 90.00, 118.79 and 90.00 degrees. The asymmetric unit holds Zr at (0.000, 0.000, 0.000), Br at (0.155, 0.500, 0.300), Cl at (0.002, 0.500, 0.722) and Cl at (0.354, 0.000, 0.001).

The volume is 34.18 Å³/atom. Its raw total energy is -40.2 eV/cell. The calculation puts the density of states at the Fermi level at 0.468 states/eV per atom. For the calculated density, the calculation gives 2.9 g/cm³. The energy relative to the elements, uncorrected comes out at -6.2 eV per formula unit. The relative energy among the computed polymorphs is 0.03 eV per formula unit.